[1]
# Ta2SiAg | Alexandria | GGA-PBE | relaxed
data_Ta2SiAg
_space_group_name_H-M_alt 'I -4 m 2'
_space_group_IT_number 119
_space_group_name_Hall 'I -4 -2'
_cell_length_a 3.933
_cell_length_b 3.933
_cell_length_c 8.725
_cell_angle_alpha 90.00
_cell_angle_beta 90.00
_cell_angle_gamma 90.00
loop_
_atom_site_label
_atom_site_type_symbol
_atom_site_fract_x
_atom_site_fract_y
_atom_site_fract_z
Ta1 Ta 0.000 0.000 0.000
Ta2 Ta 0.000 0.500 0.250
Si1 Si 0.000 0.000 0.500
Ag1 Ag 0.000 0.500 0.750
# E_form (uncorrected) ... 0.177 eV per atom
# M_tot ... 0.00 μB/f.u.

[2]
# Dy4HoCd2 | Alexandria | GGA-PBE | relaxed
data_Dy4HoCd2
_space_group_name_H-M_alt 'R -3 m'
_space_group_IT_number 166
_space_group_name_Hall '-R 3 2"'
_cell_length_a 5.1088
_cell_length_b 5.1088
_cell_length_c 30.3461
_cell_angle_alpha 90.00
_cell_angle_beta 90.00
_cell_angle_gamma 120.00
loop_
_atom_site_label
_atom_site_type_symbol
_atom_site_fract_x
_atom_site_fract_y
_atom_site_fract_z
Dy1 Dy 0.0000 0.0000 0.1077
Dy2 Dy 0.0000 0.0000 0.2966
Ho1 Ho 0.0000 0.0000 0.5000
Cd1 Cd 0.0000 0.0000 0.3999
# M_tot ... 0.00 μB/f.u.
# Energy of formation from the pure elements ... 1.54 eV per formula unit

[3]
# AcDy2Sb | Alexandria | GGA-PBE | relaxed
data_AcDy2Sb
_space_group_name_H-M_alt 'R -3 m'
_space_group_IT_number 166
_space_group_name_Hall '-R 3 2"'
_cell_length_a 4.0644
_cell_length_b 4.0644
_cell_length_c 29.6351
_cell_angle_alpha 90.00
_cell_angle_beta 90.00
_cell_angle_gamma 120.00
loop_
_atom_site_label
_atom_site_type_symbol
_atom_site_fract_x
_atom_site_fract_y
_atom_site_fract_z
Ac1 Ac 0.0000 0.0000 0.0000
Dy1 Dy 0.0000 0.0000 0.2306
Sb1 Sb 0.0000 0.0000 0.5000
# E_form (uncorrected) ... -0.374 eV per atom
# M_tot ... 0.00 μB/f.u.

[4]
# MnNiN2 | Alexandria | GGA-PBE | relaxed
data_MnNiN2
_space_group_name_H-M_alt 'F m -3 m'
_space_group_IT_number 225
_space_group_name_Hall '-F 4 2 3'
_cell_length_a 5.102
_cell_length_b 5.102
_cell_length_c 5.102
_cell_angle_alpha 90.00
_cell_angle_beta 90.00
_cell_angle_gamma 90.00
loop_
_atom_site_label
_atom_site_type_symbol
_atom_site_fract_x
_atom_site_fract_y
_atom_site_fract_z
Mn1 Mn 0.000 0.000 0.000
Ni1 Ni 0.000 0.000 0.500
N1 N 0.250 0.250 0.250
# E_form (uncorrected) ... 0.777 eV per atom
# M_tot ... 2.42 μB/f.u.

[5]
# Co2AgPb | Alexandria | GGA-PBE | relaxed
data_Co2AgPb
_space_group_name_H-M_alt 'R -3 m'
_space_group_IT_number 166
_space_group_name_Hall '-R 3 2"'
_cell_length_a 3.0811
_cell_length_b 3.0811
_cell_length_c 24.8855
_cell_angle_alpha 90.00
_cell_angle_beta 90.00
_cell_angle_gamma 120.00
loop_
_atom_site_label
_atom_site_type_symbol
_atom_site_fract_x
_atom_site_fract_y
_atom_site_fract_z
Co1 Co 0.0000 0.0000 0.2484
Ag1 Ag 0.0000 0.0000 0.5000
Pb1 Pb 0.0000 0.0000 0.0000
# M_tot ... 3.12 μB/f.u.
# Energy of formation from the pure elements ... 2.89 eV per formula unit

[6]
# Pm2AlHPt6 | Alexandria | GGA-PBE | relaxed
data_Pm2AlHPt6
_space_group_name_H-M_alt 'R -3 m'
_space_group_IT_number 166
_space_group_name_Hall '-R 3 2"'
_cell_length_a 5.7045
_cell_length_b 5.7045
_cell_length_c 18.4301
_cell_angle_alpha 90.00
_cell_angle_beta 90.00
_cell_angle_gamma 120.00
loop_
_atom_site_label
_atom_site_type_symbol
_atom_site_fract_x
_atom_site_fract_y
_atom_site_fract_z
Pm1 Pm 0.0000 0.0000 0.2171
Al1 Al 0.0000 0.0000 0.5000
H1 H 0.0000 0.0000 0.0000
Pt1 Pt 0.0030 0.5015 0.2694
# M_tot ... 0.00 μB/f.u.
# Total energy ... -6.17 eV per atom

[7]
# K8RbAu2O | Alexandria | GGA-PBE | relaxed
data_K8RbAu2O
_space_group_name_H-M_alt 'P -1'
_space_group_IT_number 2
_cell_length_a 7.604
_cell_length_b 7.928
_cell_length_c 9.262
_cell_angle_alpha 92.18
_cell_angle_beta 95.74
_cell_angle_gamma 94.16
loop_
_space_group_symop_operation_xyz
'x,y,z'
'-x,-y,-z'
loop_
_atom_site_label
_atom_site_type_symbol
_atom_site_fract_x
_atom_site_fract_y
_atom_site_fract_z
K1 K 0.011 0.254 0.488
K2 K 0.236 0.220 0.961
K3 K 0.271 0.734 0.914
K4 K 0.409 0.946 0.258
Rb1 Rb 0.500 0.500 0.500
Au1 Au 0.128 0.538 0.221
O1 O 0.500 0.000 0.000
# E_form (uncorrected) ... -0.351 eV per atom
# M_tot ... 0.00 μB/f.u.

[8]
# RbZr2Cl | Alexandria | GGA-PBE | relaxed
data_RbZr2Cl
_space_group_name_H-M_alt 'I -4 2 d'
_space_group_IT_number 122
_space_group_name_Hall 'I -4 2bw'
_cell_length_a 5.150
_cell_length_b 5.150
_cell_length_c 20.185
_cell_angle_alpha 90.00
_cell_angle_beta 90.00
_cell_angle_gamma 90.00
loop_
_atom_site_label
_atom_site_type_symbol
_atom_site_fract_x
_atom_site_fract_y
_atom_site_fract_z
Rb1 Rb 0.000 0.000 0.000
Zr1 Zr 0.035 0.750 0.625
Cl1 Cl 0.000 0.000 0.500
# E_form (uncorrected) ... 0.529 eV per atom
# M_tot ... 0.87 μB/f.u.